The following is a PBE+U calculation of crystalline VCr2O5 at its relaxed geometry, from the Alexandria database.

Computed properties:
Space-group type = I4_1/amd, No. 141
M_tot = 14.00 μB per cell
E_tot = -62.56 eV per formula unit

Unit cell a=5.608 b=5.608 c=7.503 alpha=68.06 beta=68.06 gamma=90.00
Fractional coordinates of all 16 atoms:
1 V 0.875 0.125 0.250
2 V 0.125 0.875 0.750
3 Cr 0.500 0.000 0.000
4 Cr 0.500 0.500 0.000
5 Cr 0.500 0.500 0.500
6 Cr 0.000 0.500 0.500
7 O 0.625 0.375 0.750
8 O 0.375 0.625 0.250
9 O 0.318 0.799 0.903
10 O 0.799 0.779 0.403
11 O 0.799 0.318 0.403
12 O 0.221 0.201 0.097
13 O 0.779 0.799 0.903
14 O 0.201 0.221 0.597
15 O 0.201 0.682 0.597
16 O 0.682 0.201 0.097